Computed, not measured: a relaxed Hf2CrTeN crystal at the PBE level of DFT.

```
Hf2CrTeN
1.0
5.046 0.000 0.000
0.000 5.046 0.000
0.000 0.000 3.624
Hf Cr Te N
2 1 1 1
Cartesian
0.000 2.523 0.000
2.523 0.000 0.000
0.000 0.000 0.000
2.523 2.523 1.812
0.000 0.000 1.812
```

Calculated values
Crystal system: tetragonal
E_form (uncorrected) in eV/atom: 0.1093
Electronic total energy in eV for the cell shown: -40.45
Symmetry: P4/mmm, No. 123